(1)
Ta3B4W: relaxed, GGA-PBE.

Properties
Space-group type = Immm (71)
Formation energy from the elements = -0.459 eV per atom

a b c (Å): 3.236 4.811 6.842
angles (deg): 110.54 103.68 90.00
Fractional coordinates of all 8 atoms:
Ta 0.000 0.500 0.000
Ta 0.195 0.195 0.390
Ta 0.805 0.805 0.610
B 0.369 0.546 0.737
B 0.631 0.454 0.263
B 0.631 0.809 0.263
B 0.369 0.191 0.737
W 0.500 0.000 0.000

=====

(2)
NbReS3: relaxed, GGA-PBE.

Properties
Space-group type = Pm-3m (221)
Raw formation energy = 0.773 eV per atom
E above lowest polymorph = 1.256 eV per atom

a b c (Å): 4.805 4.805 4.805
angles (deg): 90.00 90.00 90.00
Last column: magnetic moment on the atom in μB.
Fractional coordinates of all 5 atoms:
Re 0.500 0.500 0.500  4.15
Nb 0.000 0.000 0.000  0.31
S 0.000 0.500 0.000  0.04
S 0.000 0.000 0.500  0.05
S 0.500 0.000 0.000  0.01

=====

(3)
CsLa2Ta: relaxed, GGA-PBE.

Properties
Space-group type = I-42d (122)
Formation energy from the elements = 1.011 eV per atom

a b c (Å): 8.939 8.939 8.004
angles (deg): 56.06 56.06 90.00
Fractional coordinates of all 8 atoms:
Cs 0.500 0.500 0.000
Cs 0.250 0.750 0.500
La 0.785 0.125 0.250
La 0.965 0.625 0.250
La 0.375 0.215 0.750
La 0.875 0.035 0.750
Ta 0.000 0.000 0.000
Ta 0.750 0.250 0.500

=====

(4)
SrNdGd2: relaxed, GGA-PBE.

Properties
Space-group type = P4/mmm (123)
Formation energy from the elements = 0.172 eV per atom
E above lowest polymorph = 0.077 eV per atom

a b c (Å): 5.274 5.276 5.276
angles (deg): 90.00 90.00 90.00
Last column: magnetic moment on the atom in μB.
Fractional coordinates of all 4 atoms:
Sr 0.500 0.500 0.500  -0.02
Gd 0.000 0.000 0.500  -7.23
Gd 0.000 0.500 0.000  -7.23
Nd 0.500 0.000 0.000  -0.06

=====

(5)
CaTbTh: relaxed, GGA-PBE.

Properties
Space-group type = P4/nmm (129)
Formation energy from the elements = 0.047 eV per atom
E above lowest polymorph = 0.000 eV per atom

a b c (Å): 3.643 3.643 15.784
angles (deg): 90.00 90.00 90.00
Fractional coordinates of all 6 atoms:
Ca 0.000 0.500 0.905
Ca 0.500 0.000 0.095
Tb 0.500 0.000 0.729
Tb 0.000 0.500 0.271
Th 0.000 0.500 0.576
Th 0.500 0.000 0.424

=====

(6)
KHfBiPb2: relaxed, GGA-PBE.

Properties
Space-group type = P4/mmm (123)
Formation energy from the elements = -0.005 eV per atom

a b c (Å): 5.731 5.731 5.682
angles (deg): 90.00 90.00 90.00
Fractional coordinates of all 5 atoms:
Pb 0.000 0.500 0.000
Pb 0.500 0.000 0.000
K 0.500 0.500 0.500
Hf 0.000 0.000 0.000
Bi 0.000 0.000 0.500

=====

(7)
ZrNi2As: relaxed, GGA-PBE.

Properties
Space-group type = C2/m (12)
Formation energy from the elements = -0.422 eV per atom

a b c (Å): 4.854 4.854 3.849
angles (deg): 66.24 66.24 46.71
Fractional coordinates of all 4 atoms:
As 0.250 0.250 0.250
Ni 0.000 0.000 0.000
Ni 0.500 0.500 0.500
Zr 0.750 0.750 0.750

=====

(8)
Ac2Pm5Er4: relaxed, GGA-PBE.

Properties
Space-group type = P-1 (2)
Formation energy from the elements = 0.039 eV per atom

a b c (Å): 3.688 8.963 12.107
angles (deg): 104.98 98.79 89.97
Fractional coordinates of all 11 atoms:
Ac 0.588 0.722 0.179
Ac 0.412 0.278 0.821
Pm 0.138 0.098 0.275
Pm 0.862 0.902 0.725
Pm 0.229 0.812 0.457
Pm 0.500 0.000 0.000
Pm 0.771 0.188 0.543
Er 0.683 0.453 0.365
Er 0.049 0.357 0.099
Er 0.317 0.547 0.635
Er 0.951 0.643 0.901

=====

no.,final energy (eV per formula unit)
1,-78.89
2,-31.03
3,-18.52
4,-33.92
5,-13.91
6,-22.37
7,-26.45
8,-49.79